11
Lattice="-2.044 4.305 10.278 2.044 -4.305 10.278 2.044 4.305 -10.278" Properties=species:S:1:pos:R:3 comment="GGA-PBE Dy4Co2I5, optimized geometry" formation_energy_uncorrected_mev_per_atom=-680 de_polymorph_ev_per_fu=0.68 pbc="T T T"
Dy 0.000 0.000 3.396
Dy 2.044 1.690 0.000
Dy 0.000 2.615 10.278
Dy 0.000 0.000 17.159
Co 0.000 0.000 1.056
Co 0.000 0.000 19.500
I 2.044 2.335 -3.378
I 2.044 2.335 3.378
I 0.000 4.305 0.000
I 0.000 1.970 6.900
I 0.000 1.970 13.656